4
Lattice="4.189 0.000 0.000 2.094 3.627 0.000 2.094 1.209 11.189" Properties=species:S:1:pos:R:3 comment="KSm2Ir (PBE, optimized geometry)" e_form_ev_per_atom=-0.30 total_magnetization_mub_per_fu=0.0 crystal_system=trigonal pbc="T T T"
Ir 4.189 2.418 5.595
K 0.000 0.000 0.000
Sm 2.094 1.209 7.024
Sm 6.283 3.627 4.166